Compound: BaTe2I2
Source: Alexandria via LeMat-Bulk
Functional: PBE
Structure: relaxed

The calculation puts the total magnetization at 0.0 μB/f.u. The mass density comes out at 5.64 Mg/m³. The uncorrected formation energy is -396 meV/atom.

The structure belongs to space group P4/mbm (No. 127); the cell edges are 8.9156, 8.9156 and 4.7884 Å and the angles 90.00°, 90.00° and 90.00°. The distinct sites, in fractional coordinates, are Ba at (0.0000, 0.0000, 0.0000), Te at (0.1856, 0.3144, 0.5000) and I at (0.1339, 0.6339, 0.0000).


Compound: Ba4TeI6
Source: Alexandria via LeMat-Bulk
Functional: PBE
Structure: relaxed

The calculation puts the total magnetization at 0.2 μB/f.u. The mass density comes out at 4.22 Mg/m³. The uncorrected formation energy is -1758 meV/atom.

The structure belongs to space group P4_2/nmc (No. 137, origin choice 2); the cell edges are 11.6463, 11.6463 and 8.3450 Å and the angles 90.00°, 90.00° and 90.00°. The distinct sites, in fractional coordinates, are Ba at (0.0060, 0.2500, 0.0601), Te at (0.2500, 0.7500, 0.7500), I at (0.0357, 0.5357, 0.2500) and I at (0.2500, 0.2500, 0.3113).